Entry 1:
CsPa6S12 | PBE | optimized geometry

Results
Final energy, eV per atom: -7.128
DOS(E_F), states/eV/cell: 21.4
E_form (uncorrected), eV/f.u.: -28.07
M_tot, μB per formula unit: 7.1

The structure in CIF format:
```
data_CsPa6S12
_chemical_formula_sum 'Cs1 Pa6 S12'
_space_group_name_H-M_alt 'P 1'
_space_group_IT_number 1
_cell_length_a 8.198
_cell_length_b 8.198
_cell_length_c 8.198
_cell_angle_alpha 105.57
_cell_angle_beta 105.57
_cell_angle_gamma 105.57
loop_
_space_group_symop_operation_xyz
'x,y,z'
loop_
_atom_site_label
_atom_site_fract_x
_atom_site_fract_y
_atom_site_fract_z
Cs1 0.000 0.000 0.000
Pa1 0.657 0.254 0.254
Pa2 0.254 0.254 0.657
Pa3 0.254 0.657 0.254
Pa4 0.746 0.746 0.343
Pa5 0.343 0.746 0.746
Pa6 0.746 0.343 0.746
S1 0.871 0.129 0.500
S2 0.822 0.562 0.562
S3 0.562 0.562 0.822
S4 0.438 0.178 0.438
S5 0.438 0.438 0.178
S6 0.178 0.438 0.438
S7 0.129 0.500 0.871
S8 0.500 0.871 0.129
S9 0.129 0.871 0.500
S10 0.871 0.500 0.129
S11 0.500 0.129 0.871
S12 0.562 0.822 0.562
```


Entry 2:
SrY2Cd | PBE | optimized geometry

Results
Energy relative to the elements, eV per atom: -0.09
Final energy, eV per atom: -3.967
DOS(E_F), states/eV/cell: 5.7
M_tot, μB per formula unit: 0.0

The structure in CIF format:
```
data_SrY2Cd
_chemical_formula_sum 'Sr1 Y2 Cd1'
_space_group_name_H-M_alt 'P 1'
_space_group_IT_number 1
_cell_length_a 7.031
_cell_length_b 7.031
_cell_length_c 5.756
_cell_angle_alpha 65.85
_cell_angle_beta 65.85
_cell_angle_gamma 31.17
loop_
_space_group_symop_operation_xyz
'x,y,z'
loop_
_atom_site_label
_atom_site_fract_x
_atom_site_fract_y
_atom_site_fract_z
Y1 0.037 0.037 0.963
Y2 0.463 0.463 0.537
Sr1 0.250 0.250 0.250
Cd1 0.750 0.750 0.750
```